Record 1
DFT (PBE-GGA) results for crystalline CoCu2SbH at its relaxed geometry.

POSCAR file:
```
CoCu2SbH
1.0
-2.475 0.436 -2.927
2.319 -2.086 -2.271
-1.864 -3.259 1.091
Sb Co Cu H
1 1 2 1
Direct
0.500 0.500 0.500
0.000 0.000 0.500
0.000 0.500 0.000
0.500 0.000 0.000
0.000 0.000 0.000
```

## Properties
total DFT energy (no corrections) = -21.96 eV per cell
M_tot = 0.498 μB/cell
calculated volume = 58 Å³ per cell
space group = P4/mmm
Fermi-level density of states = 3.14 states/eV per cell

Record 2
DFT (PBE-GGA) results for crystalline SmCoCuH6 at its relaxed geometry.

POSCAR file:
```
SmCoCuH6
1.0
4.433 0.000 0.000
2.217 3.839 0.000
0.000 0.000 4.225
Sm Co Cu H
1 1 1 6
Direct
0.000 0.000 0.000
0.333 0.333 0.500
0.667 0.667 0.500
0.024 0.488 0.248
0.488 0.024 0.752
0.488 0.488 0.752
0.024 0.488 0.752
0.488 0.488 0.248
0.488 0.024 0.248
```

## Properties
total DFT energy (no corrections) = -38.83 eV per cell
M_tot = 0.000 μB/cell
calculated volume = 72 Å³ per cell
space group = P-6m2
Fermi-level density of states = 1.37 states/eV per cell

Record 3
DFT (PBE-GGA) results for crystalline SmCo2CuH8 at its relaxed geometry.

POSCAR file:
```
SmCo2CuH8
1.0
4.483 0.000 0.000
2.241 3.882 0.000
2.241 1.294 5.257
Sm Co Cu H
1 2 1 8
Direct
0.500 0.500 0.500
0.300 0.300 0.099
0.700 0.700 0.901
0.000 0.000 0.000
0.199 0.199 0.404
0.618 0.343 0.132
0.801 0.801 0.596
0.907 0.618 0.132
0.093 0.382 0.868
0.343 0.907 0.132
0.657 0.093 0.868
0.382 0.657 0.868
```

## Properties
total DFT energy (no corrections) = -51.90 eV per cell
M_tot = 0.000 μB/cell
calculated volume = 91 Å³ per cell
space group = R-3
Fermi-level density of states = 1.75 states/eV per cell

Record 4
DFT (PBE-GGA) results for crystalline SrCoCuH6 at its relaxed geometry.

POSCAR file:
```
SrCoCuH6
1.0
-0.110 2.011 -4.111
-3.642 2.481 -1.238
1.907 3.670 1.745
Sr Co Cu H
1 1 1 6
Direct
0.000 0.000 0.000
0.333 0.333 0.500
0.667 0.667 0.500
0.029 0.485 0.275
0.485 0.029 0.725
0.486 0.485 0.725
0.029 0.486 0.725
0.485 0.486 0.274
0.486 0.029 0.274
```

## Properties
total DFT energy (no corrections) = -35.22 eV per cell
M_tot = 0.000 μB/cell
calculated volume = 81 Å³ per cell
space group = P-6m2
Fermi-level density of states = 2.75 states/eV per cell

Record 5
DFT (PBE-GGA) results for crystalline Sr2CoCuH6 at its relaxed geometry.

POSCAR file:
```
Sr2CoCuH6
1.0
5.278 0.002 0.001
0.002 5.278 0.001
-2.640 -2.640 3.716
Sr Co Cu H
2 1 1 6
Direct
0.750 0.250 0.500
0.250 0.750 0.500
0.000 0.000 0.000
0.500 0.500 0.000
0.774 0.775 0.000
0.774 0.775 0.548
0.225 0.226 0.000
0.775 0.226 0.000
0.226 0.226 0.451
0.225 0.775 0.000
```

## Properties
total DFT energy (no corrections) = -38.41 eV per cell
M_tot = 0.001 μB/cell
calculated volume = 104 Å³ per cell
space group = I4/mmm
Fermi-level density of states = 1.74 states/eV per cell

Record 6
DFT (PBE-GGA) results for crystalline CoCuTc2H at its relaxed geometry.

POSCAR file:
```
CoCuTc2H
1.0
3.815 0.000 0.000
0.000 3.815 0.000
0.000 0.000 3.742
H Co Tc Cu
1 1 2 1
Direct
0.000 0.000 0.000
0.000 0.000 0.500
0.000 0.500 0.000
0.500 0.000 0.000
0.500 0.500 0.500
```

## Properties
total DFT energy (no corrections) = -34.14 eV per cell
M_tot = 1.250 μB/cell
calculated volume = 54 Å³ per cell
space group = P4/mmm
Fermi-level density of states = 4.88 states/eV per cell